[1]
## Na3BeRh (PBE-GGA)

Data for an optimized crystal structure of Na3BeRh.

The space group is Pm-3m (No. 221) and the conventional cell measures 5.064, 5.064 and 5.064 Å, with angles of 90.00, 90.00 and 90.00 degrees. Symmetry generates all atoms from Na at (0.000, 0.000, 0.500), Be at (0.000, 0.000, 0.000) and Rh at (0.500, 0.500, 0.500).

Its energy above the most stable polymorph in this dataset is 0.088 eV per atom. The raw total energy is -1.894 eV/atom.



[2]
## W2C (PBE-GGA)

Data for an optimized crystal structure of W2C.

The space group is I4/mcm (No. 140) and the conventional cell measures 5.312, 5.312 and 5.165 Å, with angles of 90.00, 90.00 and 90.00 degrees. Symmetry generates all atoms from W at (0.177, 0.323, 0.000) and C at (0.000, 0.000, 0.250).

The raw total energy is -11.303 eV/atom.



[3]
## MgZrTl2 (PBE-GGA)

Data for an optimized crystal structure of MgZrTl2.

The space group is F-43m (No. 216) and the conventional cell measures 7.377, 7.377 and 7.377 Å, with angles of 90.00, 90.00 and 90.00 degrees. Symmetry generates all atoms from Mg at (0.000, 0.000, 0.000), Zr at (0.250, 0.250, 0.250), Tl at (0.000, 0.000, 0.500) and Tl at (0.250, 0.250, 0.750).

The raw total energy is -3.372 eV/atom.



[4]
## Ho4AlTe (PBE-GGA)

Data for an optimized crystal structure of Ho4AlTe.

The space group is P2_1/m (No. 11) and the conventional cell measures 5.828, 8.816 and 7.513 Å, with angles of 90.00, 104.00 and 90.00 degrees. Symmetry generates all atoms from Ho at (0.018, 0.056, 0.242), Ho at (0.416, 0.250, 0.010), Ho at (0.428, 0.750, 0.493), Al at (0.122, 0.750, 0.085) and Te at (0.105, 0.250, 0.598).

For the formation energy without anion corrections, the calculation gives -0.269 eV per atom. The raw total energy is -4.469 eV/atom.



[5]
## Tb3GaAg (PBE-GGA)

Data for an optimized crystal structure of Tb3GaAg.

The space group is C2/c (No. 15) and the conventional cell measures 14.928, 6.994 and 10.137 Å, with angles of 90.00, 92.49 and 90.00 degrees. Symmetry generates all atoms from Tb at (0.043, 0.198, 0.075), Tb at (0.121, 0.483, 0.834), Tb at (0.189, 0.048, 0.329), Ga at (0.136, 0.241, 0.583), Ag at (0.000, 0.143, 0.750) and Ag at (0.250, 0.250, 0.000).

The raw total energy is -4.165 eV/atom.



[6]
## AcTbCd (PBE-GGA)

Data for an optimized crystal structure of AcTbCd.

The space group is P3m1 (No. 156) and the conventional cell measures 5.4229, 5.4229 and 3.9853 Å, with angles of 90.00, 90.00 and 120.00 degrees. Symmetry generates all atoms from Ac at (0.0000, 0.0000, 0.0000), Tb at (0.3333, 0.6667, 0.5006) and Cd at (0.6667, 0.3333, 0.4984).

Its energy above the most stable polymorph in this dataset is 0.098 eV per atom. The raw total energy is -3.289 eV/atom.